# 1
Entry from Alexandria: a geometry-optimized CuSi2P structure (PBE-GGA).

calculated total energy	-4.82	eV/atom
formation energy (no corrections)	0.2698	eV per atom
symmetry	No. 12

Cell and atoms, written as CIF:
```
data_CuSi2P
_space_group_name_H-M_alt 'P 1'
_space_group_IT_number 1
_cell_length_a 3.8552
_cell_length_b 3.8552
_cell_length_c 5.5026
_cell_angle_alpha 70.94
_cell_angle_beta 70.94
_cell_angle_gamma 50.80
loop_
_space_group_symop_operation_xyz
'x,y,z'
loop_
_atom_site_label
_atom_site_type_symbol
_atom_site_fract_x
_atom_site_fract_y
_atom_site_fract_z
_atom_site_occupancy
Cu1 Cu 0.7500 0.7500 0.7500 1
P1 P 0.2500 0.2500 0.2500 1
Si1 Si 0.9902 0.9902 0.9750 1
Si2 Si 0.5098 0.5098 0.5250 1
```

***

# 2
Entry from Alexandria: a geometry-optimized Sr3GaN structure (PBE-GGA).

calculated total energy	-3.67	eV/atom
formation energy (no corrections)	-0.3869	eV per atom
symmetry	No. 11

Cell and atoms, written as CIF:
```
data_Sr3GaN
_space_group_name_H-M_alt 'P 1'
_space_group_IT_number 1
_cell_length_a 3.8200
_cell_length_b 7.4134
_cell_length_c 10.5465
_cell_angle_alpha 90.00
_cell_angle_beta 90.00
_cell_angle_gamma 104.95
loop_
_space_group_symop_operation_xyz
'x,y,z'
loop_
_atom_site_label
_atom_site_type_symbol
_atom_site_fract_x
_atom_site_fract_y
_atom_site_fract_z
_atom_site_occupancy
Sr1 Sr 0.6212 0.2423 0.0402 1
Sr2 Sr 0.3788 0.7577 0.9598 1
Ga1 Ga 0.2548 0.5103 0.2500 1
Sr3 Sr 0.3788 0.7577 0.5402 1
N1 N 0.0000 0.0000 0.5000 1
Sr4 Sr 0.9505 0.9012 0.2500 1
Sr5 Sr 0.6212 0.2423 0.4598 1
Ga2 Ga 0.7452 0.4897 0.7500 1
Sr6 Sr 0.0495 0.0988 0.7500 1
N2 N 0.0000 0.0000 0.0000 1
```

***

# 3
Entry from Alexandria: a geometry-optimized AgPd3 structure (PBE-GGA).

calculated total energy	-4.61	eV/atom
symmetry	No. 139
energy of formation	0.0	kJ/mol of atoms

Cell and atoms, written as CIF:
```
data_AgPd3
_space_group_name_H-M_alt 'P 1'
_space_group_IT_number 1
_cell_length_a 3.9713
_cell_length_b 3.9713
_cell_length_c 4.9263
_cell_angle_alpha 113.77
_cell_angle_beta 113.77
_cell_angle_gamma 90.00
loop_
_space_group_symop_operation_xyz
'x,y,z'
loop_
_atom_site_label
_atom_site_type_symbol
_atom_site_fract_x
_atom_site_fract_y
_atom_site_fract_z
_atom_site_occupancy
Pd1 Pd 0.2500 0.7500 0.5000 1
Ag1 Ag 0.0000 0.0000 0.0000 1
Pd2 Pd 0.5000 0.5000 0.0000 1
Pd3 Pd 0.7500 0.2500 0.5000 1
```

***

# 4
Entry from Alexandria: a geometry-optimized La5GaRh structure (PBE-GGA).

calculated total energy	-5.33	eV/atom
symmetry	No. 15
energy of formation	-31.2	kJ/mol of atoms

Cell and atoms, written as CIF:
```
data_La5GaRh
_space_group_name_H-M_alt 'P 1'
_space_group_IT_number 1
_cell_length_a 6.2717
_cell_length_b 6.2717
_cell_length_c 11.5933
_cell_angle_alpha 78.99
_cell_angle_beta 78.99
_cell_angle_gamma 74.93
loop_
_space_group_symop_operation_xyz
'x,y,z'
loop_
_atom_site_label
_atom_site_type_symbol
_atom_site_fract_x
_atom_site_fract_y
_atom_site_fract_z
_atom_site_occupancy
La1 La 0.9693 0.5370 0.1412 1
Rh1 Rh 0.0000 0.0000 0.0000 1
La2 La 0.4383 0.7777 0.9570 1
Rh2 Rh 0.0000 0.0000 0.5000 1
La3 La 0.5370 0.9693 0.6412 1
La4 La 0.7777 0.4383 0.4570 1
Ga1 Ga 0.5466 0.4534 0.7500 1
La5 La 0.0431 0.9569 0.2500 1
La6 La 0.2223 0.5617 0.5430 1
La7 La 0.5617 0.2223 0.0430 1
La8 La 0.9569 0.0431 0.7500 1
La9 La 0.4630 0.0307 0.3588 1
Ga2 Ga 0.4534 0.5466 0.2500 1
La10 La 0.0307 0.4630 0.8588 1
```

***

# 5
Entry from Alexandria: a geometry-optimized Pr4ZnGa structure (PBE-GGA).

ΔE to the lowest computed polymorph	0.02	eV per formula unit
calculated total energy	-4.00	eV/atom
symmetry	No. 8
energy of formation	-9.4	kJ/mol of atoms

Cell and atoms, written as CIF:
```
data_Pr4ZnGa
_space_group_name_H-M_alt 'P 1'
_space_group_IT_number 1
_cell_length_a 3.7160
_cell_length_b 6.2466
_cell_length_c 8.8653
_cell_angle_alpha 105.81
_cell_angle_beta 90.00
_cell_angle_gamma 107.30
loop_
_space_group_symop_operation_xyz
'x,y,z'
loop_
_atom_site_label
_atom_site_type_symbol
_atom_site_fract_x
_atom_site_fract_y
_atom_site_fract_z
_atom_site_occupancy
Pr1 Pr 0.8713 0.7426 0.7006 1
Pr2 Pr 0.1327 0.2654 0.4093 1
Pr3 Pr 0.6282 0.2564 0.7957 1
Pr4 Pr 0.3673 0.7346 0.0933 1
Zn1 Zn 0.0680 0.1359 0.0434 1
Ga1 Ga 0.4325 0.8650 0.4577 1
```

***

# 6
Entry from Alexandria: a geometry-optimized NaPu2Bi3 structure (PBE-GGA).

calculated total energy	-7.29	eV/atom
symmetry	No. 123
energy of formation	-33.6	kJ/mol of atoms

Cell and atoms, written as CIF:
```
data_NaPu2Bi3
_space_group_name_H-M_alt 'P 1'
_space_group_IT_number 1
_cell_length_a 3.5283
_cell_length_b 3.5283
_cell_length_c 14.0533
_cell_angle_alpha 90.00
_cell_angle_beta 90.00
_cell_angle_gamma 90.00
loop_
_space_group_symop_operation_xyz
'x,y,z'
loop_
_atom_site_label
_atom_site_type_symbol
_atom_site_fract_x
_atom_site_fract_y
_atom_site_fract_z
_atom_site_occupancy
Pu1 Pu 0.5000 0.5000 0.8364 1
Bi1 Bi 0.0000 0.0000 0.3288 1
Bi2 Bi 0.0000 0.0000 0.6712 1
Pu2 Pu 0.5000 0.5000 0.1636 1
Na1 Na 0.5000 0.5000 0.5000 1
Bi3 Bi 0.0000 0.0000 0.0000 1
```

***

# 7
Entry from Alexandria: a geometry-optimized Pu2TlSn structure (PBE-GGA).

ΔE to the lowest computed polymorph	0.00	eV per formula unit
calculated total energy	-8.96	eV/atom
symmetry	No. 123
energy of formation	-19.6	kJ/mol of atoms

Cell and atoms, written as CIF:
```
data_Pu2TlSn
_space_group_name_H-M_alt 'P 1'
_space_group_IT_number 1
_cell_length_a 4.6790
_cell_length_b 4.7511
_cell_length_c 4.7511
_cell_angle_alpha 90.00
_cell_angle_beta 90.00
_cell_angle_gamma 90.00
loop_
_space_group_symop_operation_xyz
'x,y,z'
loop_
_atom_site_label
_atom_site_type_symbol
_atom_site_fract_x
_atom_site_fract_y
_atom_site_fract_z
_atom_site_occupancy
Pu1 Pu 0.0000 0.0000 0.5000 1
Sn1 Sn 0.5000 0.0000 0.0000 1
Tl1 Tl 0.5000 0.5000 0.5000 1
Pu2 Pu 0.0000 0.5000 0.0000 1
```

***

# 8
Entry from Alexandria: a geometry-optimized GaSiRu2 structure (PBE-GGA).

ΔE to the lowest computed polymorph	0.58	eV per formula unit
calculated total energy	-7.11	eV/atom
formation energy (no corrections)	-0.3640	eV per atom
symmetry	No. 160

Cell and atoms, written as CIF:
```
data_GaSiRu2
_space_group_name_H-M_alt 'P 1'
_space_group_IT_number 1
_cell_length_a 2.8685
_cell_length_b 2.8685
_cell_length_c 7.9536
_cell_angle_alpha 79.61
_cell_angle_beta 79.61
_cell_angle_gamma 60.00
loop_
_space_group_symop_operation_xyz
'x,y,z'
loop_
_atom_site_label
_atom_site_type_symbol
_atom_site_fract_x
_atom_site_fract_y
_atom_site_fract_z
_atom_site_occupancy
Ga1 Ga 0.5001 0.5001 0.4996 1
Ru1 Ru 0.0791 0.0791 0.7628 1
Ru2 Ru 0.2542 0.2542 0.2374 1
Si1 Si 0.6666 0.6666 0.0002 1
```

***

# 9
Entry from Alexandria: a geometry-optimized Rb2Tl2In structure (PBE-GGA).

ΔE to the lowest computed polymorph	1.25	eV per formula unit
calculated total energy	-1.72	eV/atom
symmetry	No. 127
energy of formation	15.8	kJ/mol of atoms

Cell and atoms, written as CIF:
```
data_Rb2Tl2In
_space_group_name_H-M_alt 'P 1'
_space_group_IT_number 1
_cell_length_a 11.0687
_cell_length_b 11.0687
_cell_length_c 3.4850
_cell_angle_alpha 90.00
_cell_angle_beta 90.00
_cell_angle_gamma 90.00
loop_
_space_group_symop_operation_xyz
'x,y,z'
loop_
_atom_site_label
_atom_site_type_symbol
_atom_site_fract_x
_atom_site_fract_y
_atom_site_fract_z
_atom_site_occupancy
Tl1 Tl 0.3989 0.1011 0.5000 1
Tl2 Tl 0.6011 0.8989 0.5000 1
Tl3 Tl 0.1011 0.6011 0.5000 1
Rb1 Rb 0.1934 0.3066 0.0000 1
In1 In 0.0000 0.0000 0.0000 1
In2 In 0.5000 0.5000 0.0000 1
Rb2 Rb 0.8066 0.6934 0.0000 1
Rb3 Rb 0.3066 0.8066 0.0000 1
Rb4 Rb 0.6934 0.1934 0.0000 1
Tl4 Tl 0.8989 0.3989 0.5000 1
```

***

# 10
Entry from Alexandria: a geometry-optimized TaAgBr2 structure (PBE-GGA).

ΔE to the lowest computed polymorph	1.13	eV per formula unit
calculated total energy	-4.31	eV/atom
formation energy (no corrections)	0.1992	eV per atom
symmetry	No. 123

Cell and atoms, written as CIF:
```
data_TaAgBr2
_space_group_name_H-M_alt 'P 1'
_space_group_IT_number 1
_cell_length_a 3.1447
_cell_length_b 3.1447
_cell_length_c 10.2461
_cell_angle_alpha 90.00
_cell_angle_beta 90.00
_cell_angle_gamma 90.00
loop_
_space_group_symop_operation_xyz
'x,y,z'
loop_
_atom_site_label
_atom_site_type_symbol
_atom_site_fract_x
_atom_site_fract_y
_atom_site_fract_z
_atom_site_occupancy
Br1 Br 0.0000 0.0000 0.0889 1
Ag1 Ag 0.5000 0.5000 0.7500 1
Ta1 Ta 0.5000 0.5000 0.2500 1
Br2 Br 0.0000 0.0000 0.4111 1
```